Entry 1:
! AcPbSe2O PBE-GGA optimized geometry; values from VASP
&SYSTEM
  ibrav = 0, nat = 10, ntyp = 4
/
ATOMIC_SPECIES
Ac 227.00 Ac.upf
Pb 207.20 Pb.upf
Se 78.96 Se.upf
O 16.00 O.upf
CELL_PARAMETERS angstrom
4.2873 0.0000 0.0000
0.0000 4.2873 0.0000
0.0000 0.0000 14.1541
ATOMIC_POSITIONS angstrom
Ac 1.0718 1.0718 1.2827
Ac 3.2155 3.2155 12.8714
Pb 1.0718 1.0718 8.6049
Pb 3.2155 3.2155 5.5492
Se 1.0718 1.0718 5.5030
Se 1.0718 1.0718 11.3492
Se 3.2155 3.2155 2.8049
Se 3.2155 3.2155 8.6510
O 1.0718 3.2155 0.0000
O 3.2155 1.0718 0.0000
! Total energy ... -28.0 eV per formula unit
! Crystal system ... tetragonal

---

Entry 2:
! LiPaCu2Se4 PBE-GGA optimized geometry; values from VASP
&SYSTEM
  ibrav = 0, nat = 8, ntyp = 4
/
ATOMIC_SPECIES
Li 6.94 Li.upf
Pa 231.04 Pa.upf
Cu 63.55 Cu.upf
Se 78.96 Se.upf
CELL_PARAMETERS angstrom
-3.2863 3.3345 3.6599
3.2863 -3.3345 3.6599
3.2863 3.3345 -3.6599
ATOMIC_POSITIONS angstrom
Li 0.0000 0.0000 0.0000
Pa 0.0000 0.0000 3.6599
Cu 3.2863 0.0000 2.3741
Cu 0.0000 3.3345 1.2858
Se 5.0495 1.4705 -1.2721
Se 1.5231 1.4705 1.2721
Se -1.7632 1.8640 2.3878
Se 1.7632 1.8640 4.9320
! Total energy ... -39.4 eV per formula unit
! Crystal system ... orthorhombic

---

Question: Among the records above, which one has the highest total energy?
Answer: AcPbSe2O

---

Question: Which formula does entry 2 have?
Answer: LiPaCu2Se4